*one*
# Mg3NiOs, relaxed, DFT PBE-GGA
data_Mg3NiOs
_cell_length_a 4.9133
_cell_length_b 4.9133
_cell_length_c 4.9133
_cell_angle_alpha 90.00
_cell_angle_beta 90.00
_cell_angle_gamma 90.00
_symmetry_space_group_name_H-M 'P m -3 m'
_symmetry_Int_Tables_number 221
_symmetry_space_group_name_Hall '-P 4 2 3'
loop_
_atom_site_label
_atom_site_type_symbol
_atom_site_fract_x
_atom_site_fract_y
_atom_site_fract_z
Mg1 Mg 0.0000 0.0000 0.5000
Ni1 Ni 0.5000 0.5000 0.5000
Os1 Os 0.0000 0.0000 0.0000
# Calculated volume: 119 Å³/cell

---

*two*
# Mg3NiOs, relaxed, DFT PBE-GGA
data_Mg3NiOs
_cell_length_a 4.5469
_cell_length_b 4.5469
_cell_length_c 4.5469
_cell_angle_alpha 90.00
_cell_angle_beta 90.00
_cell_angle_gamma 90.00
_symmetry_space_group_name_H-M 'P m -3 m'
_symmetry_Int_Tables_number 221
_symmetry_space_group_name_Hall '-P 4 2 3'
loop_
_atom_site_label
_atom_site_type_symbol
_atom_site_fract_x
_atom_site_fract_y
_atom_site_fract_z
Mg1 Mg 0.0000 0.0000 0.5000
Ni1 Ni 0.0000 0.0000 0.0000
Os1 Os 0.5000 0.5000 0.5000
# Calculated volume: 94 Å³/cell

---

Result of the stability comparison: *one* is the least stable of them.

---

*one*
# MgNi3P, relaxed, DFT PBE-GGA
data_MgNi3P
_cell_length_a 4.1728
_cell_length_b 4.1728
_cell_length_c 4.1728
_cell_angle_alpha 90.00
_cell_angle_beta 90.00
_cell_angle_gamma 90.00
_symmetry_space_group_name_H-M 'P m -3 m'
_symmetry_Int_Tables_number 221
_symmetry_space_group_name_Hall '-P 4 2 3'
loop_
_atom_site_label
_atom_site_type_symbol
_atom_site_fract_x
_atom_site_fract_y
_atom_site_fract_z
Mg1 Mg 0.0000 0.0000 0.0000
Ni1 Ni 0.0000 0.5000 0.5000
P1 P 0.5000 0.5000 0.5000
# Calculated volume: 73 Å³/cell

---

*two*
# MgNi3P, relaxed, DFT PBE-GGA
data_MgNi3P
_cell_length_a 4.8957
_cell_length_b 6.9654
_cell_length_c 7.6270
_cell_angle_alpha 90.00
_cell_angle_beta 90.00
_cell_angle_gamma 90.00
_symmetry_space_group_name_H-M 'I m m a'
_symmetry_Int_Tables_number 74
_symmetry_space_group_name_Hall '-I 2b 2'
loop_
_atom_site_label
_atom_site_type_symbol
_atom_site_fract_x
_atom_site_fract_y
_atom_site_fract_z
Mg1 Mg 0.0000 0.2500 0.0045
Ni1 Ni 0.0000 0.2500 0.3344
Ni2 Ni 0.2500 0.0526 0.7500
P1 P 0.0000 0.0000 0.5000
# Calculated volume: 260 Å³/cell

---

*three*
# MgNi3P, relaxed, DFT PBE-GGA
data_MgNi3P
_cell_length_a 4.3047
_cell_length_b 4.3047
_cell_length_c 4.3047
_cell_angle_alpha 90.00
_cell_angle_beta 90.00
_cell_angle_gamma 90.00
_symmetry_space_group_name_H-M 'P m -3 m'
_symmetry_Int_Tables_number 221
_symmetry_space_group_name_Hall '-P 4 2 3'
loop_
_atom_site_label
_atom_site_type_symbol
_atom_site_fract_x
_atom_site_fract_y
_atom_site_fract_z
Mg1 Mg 0.0000 0.0000 0.0000
Ni1 Ni 0.0000 0.0000 0.5000
P1 P 0.5000 0.5000 0.5000
# Calculated volume: 80 Å³/cell

---

Result of the stability comparison: *three* is the least stable of them.